This record from Alexandria describes KReF2 after structural relaxation. The functional is GGA-PBE.

Structure (POSCAR):
```
KReF2
1.0
0.000 3.353 3.353
3.353 0.000 3.353
3.353 3.353 0.000
K Re F
1 1 2
direct
0.000 0.000 0.000
0.500 0.500 0.500
0.250 0.250 0.250
0.750 0.750 0.750
```

Computed properties:
The magnetization is 1.495 μB/atom. Its density of states at the Fermi level is 1.40 states/eV/f.u. The crystal system is cubic. For the formation energy without anion corrections, the calculation gives -0.235 eV/atom. The energy relative to the lowest polymorph listed for this composition is 1076 meV per atom.

This record from Alexandria describes KReRh2F after structural relaxation. The functional is GGA-PBE.

Structure (POSCAR):
```
KReRh2F
1.0
4.789 0.000 0.000
0.000 4.789 0.000
0.000 0.000 4.237
K Re Rh F
1 1 2 1
direct
0.000 0.000 0.000
0.500 0.500 0.500
0.000 0.500 0.000
0.500 0.000 0.000
0.000 0.000 0.500
```

Computed properties:
The magnetization is 0.726 μB/atom. Its density of states at the Fermi level is 5.65 states/eV/f.u. The crystal system is tetragonal. For the formation energy without anion corrections, the calculation gives 1.784 eV/atom.

This record from Alexandria describes K2TlReF8 after structural relaxation. The functional is GGA-PBE.

Structure (POSCAR):
```
K2TlReF8
1.0
5.255 0.000 0.000
-2.627 4.551 0.000
0.000 0.000 9.292
K Tl Re F
2 1 1 8
direct
0.333 0.667 0.213
0.667 0.333 0.787
0.000 0.000 0.000
0.000 0.000 0.500
0.165 0.330 0.628
0.165 0.835 0.628
0.330 0.165 0.372
0.333 0.667 0.941
0.667 0.333 0.059
0.670 0.835 0.628
0.835 0.165 0.372
0.835 0.670 0.372
```

Computed properties:
The magnetization is 0.167 μB/atom. Its density of states at the Fermi level is 8.24 states/eV/f.u. The crystal system is trigonal. For the formation energy without anion corrections, the calculation gives -2.190 eV/atom.

This record from Alexandria describes K2RhF7 after structural relaxation. The functional is GGA-PBE.

Structure (POSCAR):
```
K2RhF7
1.0
0.000 4.444 4.444
4.444 0.000 4.444
4.444 4.444 0.000
K Rh F
2 1 7
direct
0.250 0.250 0.250
0.750 0.750 0.750
0.000 0.000 0.000
0.217 0.217 0.783
0.217 0.783 0.217
0.217 0.783 0.783
0.500 0.500 0.500
0.783 0.217 0.217
0.783 0.217 0.783
0.783 0.783 0.217
```

Computed properties:
The magnetization is 0.200 μB/atom. Its density of states at the Fermi level is 14.72 states/eV/f.u. The crystal system is cubic. For the formation energy without anion corrections, the calculation gives -1.887 eV/atom. The energy relative to the lowest polymorph listed for this composition is 85 meV per atom.